Compound: La2Pr6Tm3In
Source: Alexandria
Functional: PBE
Structure: optimized geometry

Geometry as extended XYZ:
```
12
Lattice="3.121 -5.413 0.000 3.121 5.413 0.000 -2.082 0.000 11.811" Properties=species:S:1:pos:R:3 pbc="T T T"
La 3.121 3.611 0.000
La 3.121 -3.611 0.000
Pr 0.026 1.757 8.811
Pr 1.096 0.000 3.003
Pr 0.026 -1.757 8.811
Pr 4.135 1.757 2.999
Pr 3.065 0.000 8.807
Pr 4.135 -1.757 2.999
Tm -1.041 0.000 5.905
Tm 2.080 1.809 5.905
Tm 2.080 -1.809 5.905
In 3.121 0.000 0.000
```

Density of states at the Fermi level in states/eV per atom: 1.15
E in eV per atom: -4.615
Volume in Å³ per cell: 399.1
Formation enthalpy at 0 K in eV per atom: -0.058
Symmetry: No. 12
M_tot in μB per cell: 0.00
ρ in g cm⁻³: 7.3

Compound: Ti2PRh
Source: Alexandria
Functional: PBE
Structure: optimized geometry

Geometry as extended XYZ:
```
8
Lattice="-3.410 3.410 2.675 3.410 -3.410 2.675 3.410 3.410 -2.675" Properties=species:S:1:pos:R:3 pbc="T T T"
Ti 5.116 1.629 -0.669
Ti 1.629 1.705 0.669
Ti -1.705 1.781 2.006
Ti 1.781 1.705 3.344
P 0.000 0.000 0.000
P 0.000 3.410 1.338
Rh 3.410 0.000 1.338
Rh 0.000 0.000 2.675
```

Density of states at the Fermi level in states/eV per atom: 0.83
E in eV per atom: -7.628
Volume in Å³ per cell: 124.5
Formation enthalpy at 0 K in eV per atom: -0.490
Symmetry: No. 122
M_tot in μB per cell: 0.00
ρ in g cm⁻³: 6.1

Compound: NbGa2N
Source: Alexandria
Functional: PBE
Structure: optimized geometry

Geometry as extended XYZ:
```
8
Lattice="-3.305 3.305 2.561 3.305 -3.305 2.561 3.305 3.305 -2.561" Properties=species:S:1:pos:R:3 pbc="T T T"
Nb 0.000 0.000 0.000
Nb 0.000 3.305 1.280
Ga 1.653 -1.156 1.920
Ga 2.149 1.653 0.640
Ga 1.653 4.461 -0.640
Ga 1.156 1.653 3.201
N 3.305 0.000 1.280
N 0.000 0.000 2.561
```

Density of states at the Fermi level in states/eV per atom: 0.65
E in eV per atom: -5.856
Volume in Å³ per cell: 111.9
Symmetry: No. 122
Raw formation energy in eV per formula unit: 1.025
M_tot in μB per cell: 0.00
ρ in g cm⁻³: 7.3

Compound: Tb3MgAl
Source: Alexandria
Functional: PBE
Structure: optimized geometry

Geometry as extended XYZ:
```
10
Lattice="8.281 0.000 0.000 -4.141 7.172 0.000 0.000 0.000 4.954" Properties=species:S:1:pos:R:3 pbc="T T T"
Tb 0.000 2.845 1.239
Tb -1.677 5.750 1.239
Tb 2.464 1.422 3.716
Tb 1.677 5.750 1.239
Tb 5.818 1.422 3.716
Tb 4.141 4.327 3.716
Mg 0.000 0.000 0.000
Mg 0.000 0.000 2.477
Al 0.000 4.781 3.716
Al 4.141 2.391 1.239
```

Density of states at the Fermi level in states/eV per atom: 0.41
E in eV per atom: -3.714
Volume in Å³ per cell: 294.3
Formation enthalpy at 0 K in eV per atom: 0.132
Symmetry: No. 194
Energy relative to the lowest polymorph listed for this composition in meV/atom: 324
M_tot in μB per cell: 0.00
ρ in g cm⁻³: 6.0

Compound: NaCrAgBr2
Source: Alexandria
Functional: PBE
Structure: optimized geometry

Geometry as extended XYZ:
```
5
Lattice="5.327 0.000 0.000 0.000 5.327 0.000 0.000 0.000 5.468" Properties=species:S:1:pos:R:3 pbc="T T T"
Na 0.000 0.000 0.000
Cr 0.000 0.000 2.734
Ag 2.663 2.663 2.734
Br 0.000 2.663 0.000
Br 2.663 0.000 0.000
```

Density of states at the Fermi level in states/eV per atom: 0.56
E in eV per atom: -3.047
Volume in Å³ per cell: 155.2
Symmetry: No. 123
Raw formation energy in eV per formula unit: 1.906
M_tot in μB per cell: 5.52
ρ in g cm⁻³: 3.7

Compound: K3YB2O6
Source: Alexandria
Functional: PBE
Structure: optimized geometry

Geometry as extended XYZ:
```
12
Lattice="5.576 0.000 0.000 -2.788 4.829 0.000 0.000 0.000 6.923" Properties=species:S:1:pos:R:3 pbc="T T T"
K 0.000 0.000 0.000
K 0.000 3.220 5.132
K 2.788 1.610 1.791
Y 0.000 0.000 3.462
B 0.000 3.220 2.072
B 2.788 1.610 4.851
O 0.000 1.824 2.077
O -1.208 3.917 2.077
O 1.580 0.912 4.846
O 1.208 3.917 2.077
O 3.997 0.912 4.846
O 2.788 3.005 4.846
```

Density of states at the Fermi level in states/eV per atom: 0.00
E in eV per atom: -6.891
Volume in Å³ per cell: 186.5
Symmetry: No. 164
Raw formation energy in eV per formula unit: -29.837
M_tot in μB per cell: 0.00
ρ in g cm⁻³: 2.9

Compound: AlPCS2
Source: Alexandria
Functional: PBE
Structure: optimized geometry

Geometry as extended XYZ:
```
5
Lattice="4.140 0.000 0.000 0.000 4.140 0.000 0.000 0.000 4.050" Properties=species:S:1:pos:R:3 pbc="T T T"
Al 0.000 0.000 0.000
P 2.070 2.070 0.000
C 2.070 2.070 2.025
S 0.000 2.070 2.025
S 2.070 0.000 2.025
```

Density of states at the Fermi level in states/eV per atom: 0.71
E in eV per atom: -4.295
Volume in Å³ per cell: 69.4
Symmetry: No. 123
Raw formation energy in eV per formula unit: 5.159
Energy relative to the lowest polymorph listed for this composition in meV/atom: 0
M_tot in μB per cell: 0.00
ρ in g cm⁻³: 3.2

Compound: TbDy5Y2Sc
Source: Alexandria
Functional: PBE
Structure: optimized geometry

Geometry as extended XYZ:
```
18
Lattice="2.777 -9.874 0.000 2.777 9.874 0.000 0.000 0.000 10.383" Properties=species:S:1:pos:R:3 pbc="T T T"
Tb 2.777 8.112 5.191
Tb 2.777 -8.112 0.000
Dy 2.777 9.520 8.124
Dy 2.777 7.479 0.655
Dy 2.777 5.912 7.758
Dy 2.777 5.475 3.759
Dy 2.777 0.375 0.633
Dy 2.777 -0.375 5.825
Dy 2.777 -5.475 8.950
Dy 2.777 -5.912 2.567
Dy 2.777 -7.479 5.846
Dy 2.777 -9.520 2.932
Y 2.777 2.241 8.083
Y 2.777 2.199 3.700
Y 2.777 -2.199 8.891
Y 2.777 -2.241 2.891
Sc 2.777 3.878 0.592
Sc 2.777 -3.878 5.784
```

Density of states at the Fermi level in states/eV per atom: 1.68
E in eV per atom: -5.045
Volume in Å³ per cell: 569.4
Formation enthalpy at 0 K in eV per atom: 0.166
Symmetry: No. 36
M_tot in μB per cell: 0.00
ρ in g cm⁻³: 7.0

Compound: Pa2TiPd
Source: Alexandria
Functional: PBE
Structure: optimized geometry

Geometry as extended XYZ:
```
4
Lattice="3.668 0.000 0.000 0.000 3.668 0.000 0.000 0.000 6.510" Properties=species:S:1:pos:R:3 pbc="T T T"
Pa 0.000 0.000 1.519
Pa 0.000 0.000 4.991
Ti 1.834 1.834 3.255
Pd 1.834 1.834 0.000
```

Density of states at the Fermi level in states/eV per atom: 2.31
E in eV per atom: -8.008
Volume in Å³ per cell: 87.6
Formation enthalpy at 0 K in eV per atom: 0.012
Symmetry: No. 123
Energy relative to the lowest polymorph listed for this composition in meV/atom: 50
M_tot in μB per cell: 1.10
ρ in g cm⁻³: 11.7

Compound: Nd2RuC4
Source: Alexandria
Functional: PBE
Structure: optimized geometry

Geometry as extended XYZ:
```
14
Lattice="-3.932 4.965 2.715 3.932 -4.965 2.715 3.932 4.965 -2.715" Properties=species:S:1:pos:R:3 pbc="T T T"
Nd 1.179 1.490 0.000
Nd 5.111 3.476 0.000
Nd -1.179 1.490 2.715
Nd 2.752 3.476 2.715
Ru 3.932 0.000 1.358
Ru 0.000 4.965 1.358
C 5.285 0.742 0.000
C 6.555 1.234 0.000
C 2.623 3.732 0.000
C 1.353 4.224 0.000
C 2.579 0.742 2.715
C 1.308 1.234 2.715
C -2.623 3.732 2.715
C -1.353 4.224 2.715
```

Density of states at the Fermi level in states/eV per atom: 0.12
E in eV per atom: -8.132
Volume in Å³ per cell: 212.0
Formation enthalpy at 0 K in eV per atom: -0.174
Symmetry: No. 72
M_tot in μB per cell: 0.00
ρ in g cm⁻³: 6.9

Compound: Pm2MgBeRh2
Source: Alexandria
Functional: PBE
Structure: optimized geometry

Geometry as extended XYZ:
```
12
Lattice="-3.836 5.562 2.950 3.836 -5.562 2.950 3.836 5.562 -2.950" Properties=species:S:1:pos:R:3 pbc="T T T"
Pm 1.270 2.066 0.000
Pm 5.106 3.495 0.000
Pm -1.270 2.066 2.950
Pm 2.566 3.495 2.950
Mg 3.836 0.000 1.475
Mg 0.000 5.562 1.475
Be 0.000 0.000 1.475
Be 0.000 0.000 4.425
Rh 6.091 0.860 0.000
Rh 2.255 4.701 0.000
Rh 1.581 0.860 2.950
Rh -2.255 4.701 2.950
```

Density of states at the Fermi level in states/eV per atom: 0.62
E in eV per atom: -5.435
Volume in Å³ per cell: 251.8
Formation enthalpy at 0 K in eV per atom: -0.514
Symmetry: No. 72
M_tot in μB per cell: 0.00
ρ in g cm⁻³: 7.0

Compound: HfZn3Pt
Source: Alexandria
Functional: PBE
Structure: optimized geometry

Geometry as extended XYZ:
```
5
Lattice="5.062 0.000 0.000 0.000 5.062 0.000 0.000 0.000 5.062" Properties=species:S:1:pos:R:3 pbc="T T T"
Hf 0.000 0.000 0.000
Zn 0.000 0.000 2.531
Zn 0.000 2.531 0.000
Zn 2.531 0.000 0.000
Pt 2.531 2.531 2.531
```

Density of states at the Fermi level in states/eV per atom: 0.87
E in eV per atom: -2.606
Volume in Å³ per cell: 129.7
Formation enthalpy at 0 K in eV per atom: 1.357
Symmetry: No. 221
Energy relative to the lowest polymorph listed for this composition in meV/atom: 1719
M_tot in μB per cell: 0.00
ρ in g cm⁻³: 7.3

- Which value of M_tot does entry 11 give?
  0.00 μB per cell

- Which formula does entry 3 have?
  NbGa2N

- The highest volume belongs to which entry?
  TbDy5Y2Sc

- Which of these has the highest ρ?
  Pa2TiPd